This record from Alexandria via LeMat-Bulk describes crystalline AcLa2Mg at its relaxed geometry. The functional is PBE-GGA.

The energy above the most stable polymorph in this dataset is 111 meV per atom.

The structure belongs to space group Fm-3m (No. 225); the cell edges are 8.3294, 8.3294 and 8.3294 Å and the angles 90.00°, 90.00° and 90.00°. Symmetry generates all atoms from Ac at (0.0000, 0.0000, 0.0000), La at (0.2500, 0.2500, 0.2500) and Mg at (0.0000, 0.0000, 0.5000).